The following is a DFT calculation (GGA+U) of a relaxed HW2F crystal.

Cell: 4.1305 4.1305 4.1305 Å, 60.00 60.00 60.00°
Closest atoms and distances in Å follow each position.
Atoms (fractional coordinates):
H (0.0000, 0.0000, 0.0000)  8 W 2.53
W (0.2500, 0.2500, 0.2500)  4 H 2.53, 4 F 2.53
W (0.7500, 0.7500, 0.7500)  4 F 2.53, 4 H 2.53
F (0.5000, 0.5000, 0.5000)  8 W 2.53

Values from the calculation:
- total energy (eV per atom) = -3.6146
- space group = No. 225